Computed, not measured: a geometry-optimized LiAcNdSn structure at the GGA-PBE level of DFT.

Unit cell a=5.569 b=5.569 c=5.569 alpha=60.00 beta=60.00 gamma=60.00
Positions (direct):
Ac: 0.000 0.000 0.000
Sn: 0.250 0.250 0.250
Nd: 0.500 0.500 0.500
Li: 0.750 0.750 0.750

**Total DFT energy (no corrections)**: -4.08 eV per atom
**Density of states at the Fermi level**: 3.2 states/eV/f.u.
**Energy of formation**: -378 meV/atom